No. 1
Crystalline LaTc2Te at its relaxed geometry. Source: the Alexandria database, functional PBE-GGA.

abc: 4.914 4.914 4.914
angles: 60.00 60.00 60.00
Each line ends with the local moment (μB).
Fractional coordinates of all 4 atoms:
Te 0.750 0.750 0.750  0.04
La 0.500 0.500 0.500  0.04
Tc 0.250 0.250 0.250  1.35
Tc 0.000 0.000 0.000  0.20

Calculated values
excess energy over the best structure of this formula in the dataset	736	meV/atom
space group	No. 216
energy relative to the elements, uncorrected	485	meV/atom
density	9.16	Mg/m³



No. 2
Crystalline Ho2ErScTe4 at its relaxed geometry. Source: the Alexandria database, functional PBE-GGA.

abc: 4.253 7.462 7.459
angles: 71.04 90.00 90.00
Fractional coordinates of all 8 atoms:
Sc 0.500 0.500 0.000
Te 0.000 0.259 0.242
Te 0.000 0.741 0.758
Te 0.500 0.745 0.247
Te 0.500 0.255 0.753
Ho 0.000 0.000 0.000
Ho 0.500 0.000 0.500
Er 0.000 0.500 0.500

Calculated values
space group	No. 10
energy relative to the elements, uncorrected	-1196	meV/atom
density	7.81	Mg/m³



No. 3
Crystalline Pm3HoIr at its relaxed geometry. Source: the Alexandria database, functional PBE-GGA.

abc: 5.567 5.567 5.567
angles: 90.00 90.00 90.00
Fractional coordinates of all 5 atoms:
Ir 0.000 0.000 0.000
Ho 0.500 0.500 0.500
Pm 0.500 0.000 0.000
Pm 0.000 0.000 0.500
Pm 0.000 0.500 0.000

Calculated values
excess energy over the best structure of this formula in the dataset	215	meV/atom
space group	No. 221
density	7.62	Mg/m³



No. 4
Crystalline BaEuGaSn at its relaxed geometry. Source: the Alexandria database, functional PBE-GGA.

abc: 5.712 5.712 5.712
angles: 60.00 60.00 60.00
Each line ends with the local moment (μB).
Fractional coordinates of all 4 atoms:
Sn 0.250 0.250 0.250  -0.03
Eu 0.000 0.000 0.000  6.88
Ga 0.750 0.750 0.750  0.06
Ba 0.500 0.500 0.500  0.02

Calculated values
space group	No. 216
DFT total energy	-5.2568	eV per atom
density	6.02	Mg/m³



No. 5
Crystalline Rb2CaZnF6 at its relaxed geometry. Source: the Alexandria database, functional PBE-GGA.

abc: 6.141 6.141 6.141
angles: 60.00 60.00 90.00
Fractional coordinates of all 10 atoms:
F 0.240 0.240 0.000
F 0.760 0.760 0.000
F 0.760 0.760 0.480
F 0.760 0.240 0.000
F 0.240 0.240 0.520
F 0.240 0.760 0.000
Ca 0.500 0.500 0.000
Rb 0.250 0.750 0.500
Rb 0.750 0.250 0.500
Zn 0.000 0.000 0.000

Calculated values
space group	No. 225
energy relative to the elements, uncorrected	-3011	meV/atom
density	3.96	Mg/m³



No. 6
Crystalline TlCd4In at its relaxed geometry. Source: the Alexandria database, functional PBE-GGA.

abc: 4.505 7.609 9.088
angles: 90.00 90.00 90.00
Fractional coordinates of all 12 atoms:
Tl 0.000 0.330 0.250
Tl 0.000 0.670 0.750
Cd 0.500 0.025 0.250
Cd 0.500 0.308 0.514
Cd 0.000 0.000 0.000
Cd 0.000 0.000 0.500
Cd 0.500 0.308 0.986
Cd 0.500 0.692 0.014
Cd 0.500 0.975 0.750
Cd 0.500 0.692 0.486
In 0.000 0.730 0.250
In 0.000 0.270 0.750

Calculated values
excess energy over the best structure of this formula in the dataset	5	meV/atom
space group	No. 51
density	8.20	Mg/m³



No. 7
Crystalline BaTe2Se at its relaxed geometry. Source: the Alexandria database, functional PBE-GGA.

abc: 10.358 10.358 10.358
angles: 23.95 23.95 23.95
Each line ends with the local moment (μB).
Fractional coordinates of all 4 atoms:
Te 0.113 0.113 0.113  0.01
Te 0.887 0.887 0.887  0.01
Ba 0.000 0.000 0.000  0.17
Se 0.500 0.500 0.500  0.03

Calculated values
space group	No. 166
energy relative to the elements, uncorrected	27	meV/atom
density	4.87	Mg/m³



No. 8
Crystalline YTc2PCl at its relaxed geometry. Source: the Alexandria database, functional PBE-GGA.

abc: 5.260 4.912 5.260
angles: 90.00 90.00 90.00
Each line ends with the local moment (μB).
Fractional coordinates of all 5 atoms:
Tc 0.000 0.000 0.500  2.29
Tc 0.500 0.000 0.000  2.74
Cl 0.000 0.500 0.000  0.03
P 0.500 0.500 0.500  -0.38
Y 0.000 0.000 0.000  -0.16

Calculated values
space group	No. 123
energy relative to the elements, uncorrected	1650	meV/atom
density	4.29	Mg/m³



No. 9
Crystalline Th7Hg2Bi2 at its relaxed geometry. Source: the Alexandria database, functional PBE-GGA.

abc: 6.684 9.119 6.684
angles: 90.01 116.24 89.99
Fractional coordinates of all 11 atoms:
Th 0.500 0.741 0.500
Th 0.500 0.259 0.500
Th 0.500 0.304 0.000
Th 0.500 0.696 0.000
Th 0.000 0.304 0.500
Th 0.000 0.696 0.500
Th 0.000 0.000 0.000
Hg 0.192 0.500 0.192
Hg 0.808 0.500 0.808
Bi 0.304 0.000 0.696
Bi 0.696 0.000 0.304

Calculated values
space group	No. 65
DFT total energy	-5.3627	eV per atom
density	11.10	Mg/m³



No. 10
Crystalline RbLiHf3 at its relaxed geometry. Source: the Alexandria database, functional PBE-GGA.

abc: 5.038 5.038 5.038
angles: 90.00 90.00 90.00
Fractional coordinates of all 5 atoms:
Hf 0.500 0.000 0.000
Hf 0.000 0.500 0.000
Hf 0.000 0.000 0.500
Rb 0.500 0.500 0.500
Li 0.000 0.000 0.000

Calculated values
excess energy over the best structure of this formula in the dataset	0	meV/atom
space group	No. 221
density	8.15	Mg/m³



No. 11
Crystalline OsAuC2 at its relaxed geometry. Source: the Alexandria database, functional PBE-GGA.

abc: 3.974 3.974 3.974
angles: 60.00 60.00 60.00
Fractional coordinates of all 4 atoms:
Au 0.500 0.500 0.500
C 0.750 0.750 0.750
C 0.250 0.250 0.250
Os 0.000 0.000 0.000

Calculated values
excess energy over the best structure of this formula in the dataset	1273	meV/atom
space group	No. 225
density	15.38	Mg/m³



No. 12
Crystalline NdHo3Er7 at its relaxed geometry. Source: the Alexandria database, functional PBE-GGA.

abc: 5.743 8.360 8.360
angles: 83.33 110.16 110.16
Fractional coordinates of all 11 atoms:
Er 0.292 0.986 0.598
Er 0.000 0.500 0.500
Er 0.793 0.794 0.794
Er 0.292 0.598 0.986
Er 0.207 0.206 0.206
Er 0.708 0.402 0.014
Er 0.708 0.014 0.402
Ho 0.000 0.794 0.206
Ho 0.000 0.206 0.794
Ho 0.500 0.000 0.000
Nd 0.500 0.500 0.500

Calculated values
excess energy over the best structure of this formula in the dataset	113	meV/atom
space group	No. 12
density	8.49	Mg/m³



No. 13
Crystalline Th2UGe3Pt4 at its relaxed geometry. Source: the Alexandria database, functional PBE-GGA.

abc: 4.340 4.340 11.057
angles: 90.00 90.00 90.00
Each line ends with the local moment (μB).
Fractional coordinates of all 10 atoms:
Pt 0.500 0.500 0.000  -0.01
Pt 0.500 0.000 0.657  -0.02
Pt 0.000 0.000 0.000  -0.02
Pt 0.000 0.500 0.343  -0.02
Ge 0.500 0.000 0.878  0.00
Ge 0.000 0.500 0.122  0.00
Ge 0.000 0.000 0.500  -0.03
Th 0.000 0.500 0.776  0.07
Th 0.500 0.000 0.224  0.07
U 0.500 0.500 0.500  2.09

Calculated values
space group	No. 115
DFT total energy	-7.2219	eV per atom
density	13.56	Mg/m³



No. 14
Crystalline Na2NpI5 at its relaxed geometry. Source: the Alexandria database, functional PBE-GGA.

abc: 6.348 8.093 8.496
angles: 81.57 68.06 66.91
Each line ends with the local moment (μB).
Fractional coordinates of all 8 atoms:
I 0.784 0.229 0.203  -0.03
I 0.000 0.500 0.500  -0.02
I 0.487 0.229 0.797  -0.03
I 0.216 0.771 0.797  -0.03
I 0.513 0.771 0.203  -0.03
Na 0.197 0.500 0.107  0.00
Na 0.803 0.500 0.893  0.00
Np 0.500 0.500 0.500  4.01

Calculated values
space group	No. 69
energy relative to the elements, uncorrected	-948	meV/atom
density	4.09	Mg/m³



No. 15
Crystalline AgI at its relaxed geometry. Source: the Alexandria database, functional PBE-GGA.

abc: 7.723 4.849 7.749
angles: 90.00 101.36 90.00
Fractional coordinates of all 8 atoms:
I 0.653 0.500 0.568
I 0.208 0.500 0.110
I 0.178 0.000 0.620
I 0.723 0.000 0.067
Ag 0.085 0.000 0.250
Ag 0.589 0.500 0.188
Ag 0.817 0.000 0.721
Ag 0.039 0.500 0.742

Calculated values
space group	No. 6
energy relative to the elements, uncorrected	-235	meV/atom
density	5.48	Mg/m³



No. 16
Crystalline Na4Tm3SbSe8 at its relaxed geometry. Source: the Alexandria database, functional PBE-GGA.

abc: 8.240 8.466 8.241
angles: 119.16 120.00 90.00
Fractional coordinates of all 16 atoms:
Na 0.000 0.000 0.000
Na 0.500 0.000 0.000
Na 0.000 0.000 0.500
Na 0.500 0.000 0.500
Tm 0.500 0.500 0.000
Tm 0.000 0.500 0.500
Tm 0.500 0.500 0.500
Se 0.756 0.272 0.017
Se 0.739 0.728 0.983
Se 0.244 0.728 0.983
Se 0.742 0.726 0.484
Se 0.244 0.727 0.489
Se 0.261 0.272 0.017
Se 0.756 0.273 0.511
Se 0.258 0.274 0.516
Sb 0.000 0.500 0.000

Calculated values
space group	No. 166
energy relative to the elements, uncorrected	-1434	meV/atom
density	5.45	Mg/m³



No. 17
Crystalline Li3Tm2ZrSe6 at its relaxed geometry. Source: the Alexandria database, functional PBE-GGA.

abc: 6.817 6.817 6.896
angles: 99.51 99.51 119.98
Fractional coordinates of all 12 atoms:
Se 0.916 0.590 0.748
Se 0.084 0.410 0.252
Se 0.759 0.759 0.251
Se 0.410 0.084 0.252
Se 0.590 0.916 0.748
Se 0.241 0.241 0.749
Li 0.500 0.500 0.500
Li 0.167 0.833 0.500
Li 0.833 0.167 0.500
Tm 0.667 0.333 0.000
Tm 0.333 0.667 0.000
Zr 0.000 0.000 0.000

Calculated values
space group	No. 12
energy relative to the elements, uncorrected	-1545	meV/atom
density	5.85	Mg/m³



No. 18
Crystalline AlGa2GeO6 at its relaxed geometry. Source: the Alexandria database, functional PBE-GGA.

abc: 5.203 6.573 6.573
angles: 84.18 82.66 82.66
Fractional coordinates of all 20 atoms:
O 0.376 0.553 0.717
O 0.383 0.871 0.349
O 0.117 0.651 0.129
O 0.391 0.184 0.025
O 0.124 0.283 0.447
O 0.876 0.717 0.553
O 0.109 0.975 0.816
O 0.891 0.025 0.184
O 0.883 0.349 0.871
O 0.609 0.816 0.975
O 0.624 0.447 0.283
O 0.617 0.129 0.651
Ga 0.802 0.205 0.401
Ga 0.698 0.599 0.795
Ga 0.302 0.401 0.205
Ga 0.198 0.795 0.599
Al 0.250 0.910 0.090
Al 0.750 0.090 0.910
Ge 0.750 0.727 0.273
Ge 0.250 0.273 0.727

Calculated values
space group	No. 15
energy relative to the elements, uncorrected	-1898	meV/atom
density	5.05	Mg/m³



No. 19
Crystalline TlBi2Sb at its relaxed geometry. Source: the Alexandria database, functional PBE-GGA.

abc: 4.256 4.256 8.906
angles: 76.18 76.18 60.00
Fractional coordinates of all 4 atoms:
Tl 0.500 0.500 0.499
Bi 0.076 0.076 0.772
Bi 0.257 0.257 0.230
Sb 0.667 0.667 0.999

Calculated values
excess energy over the best structure of this formula in the dataset	0	meV/atom
space group	No. 160
energy relative to the elements, uncorrected	94	meV/atom
density	9.20	Mg/m³



No. 20
Crystalline MnNbSiIr at its relaxed geometry. Source: the Alexandria database, functional PBE-GGA.

abc: 4.320 4.320 4.320
angles: 60.00 60.00 60.00
Each line ends with the local moment (μB).
Fractional coordinates of all 4 atoms:
Si 0.500 0.500 0.500  0.00
Mn 0.000 0.000 0.000  2.79
Ir 0.250 0.250 0.250  0.17
Nb 0.750 0.750 0.750  -0.58

Calculated values
space group	No. 216
energy relative to the elements, uncorrected	-363	meV/atom
density	10.73	Mg/m³



One value per record, in order, for magnetic moment: 1.85; 0.00; 0.00; 7.32; 0.00; 0.00; 0.69; 4.83; 0.00; 0.00; 0.00; 0.00; 2.49; 4.00; 0.00; 0.00; 0.00; 0.00; 0.00; 2.43 μB/cell.